Record 1
First-principles (PBE-GGA) data for YHgSe2 after structural relaxation, as listed in Alexandria.

Calculated values
Total magnetization: 0.000 μB per formula unit
Formation energy (no corrections): -1.068 eV/atom
DOS at the Fermi energy: 4.54 states/eV/cell

abc: 7.292 4.155 7.756
angles: 90.00 96.79 90.00
Space group C2/m (No. 12)
One atom of each set of equivalent atoms:
Y 0.000 0.000 0.000 (multiplicity 2)
Hg 0.000 0.500 0.500 (multiplicity 2)
Se 0.196 0.500 0.203 (multiplicity 4)



Record 2
First-principles (PBE-GGA) data for LaEr4Tm8 after structural relaxation, as listed in Alexandria.

Calculated values
Total magnetization: 0.000 μB per formula unit
DOS at the Fermi energy: 50.30 states/eV/cell
ΔH_f (0 K): 0.20 eV/atom

abc: 7.2143 7.2143 26.6941
angles: 90.00 90.00 120.00
Space group R-3m (No. 166, hexagonal axes)
One atom of each set of equivalent atoms:
La 0.0000 0.0000 0.0000 (multiplicity 3)
Er 0.0000 0.0000 0.5000 (multiplicity 3)
Er 0.0000 0.5000 0.5000 (multiplicity 9)
Tm 0.0000 0.0000 0.2809 (multiplicity 6)
Tm 0.0376 0.5188 0.2683 (multiplicity 18)



Record 3
First-principles (PBE-GGA) data for Sm5Sn3 after structural relaxation, as listed in Alexandria.

Calculated values
Total magnetization: 1.765 μB per formula unit
DOS at the Fermi energy: 36.00 states/eV/cell
ΔH_f (0 K): -0.68 eV/atom
Polymorph energy (0 for the lowest one): 27 meV/atom

abc: 12.384 12.384 6.195
angles: 90.00 90.00 90.00
Space group I4/mcm (No. 140)
One atom of each set of equivalent atoms:
Sm 0.000 0.500 0.250 (multiplicity 4)
Sm 0.082 0.218 0.000 (multiplicity 16)
Sn 0.000 0.000 0.250 (multiplicity 4)
Sn 0.162 0.338 0.500 (multiplicity 8)



Record 4
First-principles (PBE-GGA) data for BeSiNi4 after structural relaxation, as listed in Alexandria.

Calculated values
Total magnetization: 0.000 μB per formula unit
Formation energy (no corrections): -0.325 eV/atom
DOS at the Fermi energy: 9.14 states/eV/cell
Polymorph energy (0 for the lowest one): 74 meV/atom

abc: 4.396 6.936 4.383
angles: 90.00 110.50 90.00
Space group P2_1/c (No. 14)
One atom of each set of equivalent atoms:
Be 0.000 0.000 0.000 (multiplicity 2)
Si 0.500 0.000 0.500 (multiplicity 2)
Ni 0.084 0.162 0.589 (multiplicity 4)
Ni 0.411 0.662 0.419 (multiplicity 4)



Record 5
First-principles (PBE-GGA) data for AcLa2Pm3 after structural relaxation, as listed in Alexandria.

Calculated values
Total magnetization: 0.000 μB per formula unit
DOS at the Fermi energy: 22.13 states/eV/cell
ΔH_f (0 K): 0.20 eV/atom
Polymorph energy (0 for the lowest one): 39 meV/atom

abc: 7.1073 7.1073 10.2080
angles: 90.00 90.00 120.00
Space group P-3m1 (No. 164)
One atom of each set of equivalent atoms:
Ac 0.3333 0.6667 0.4299 (multiplicity 2)
La 0.0000 0.0000 0.0000 (multiplicity 1)
La 0.0000 0.0000 0.5000 (multiplicity 1)
La 0.3333 0.6667 0.0779 (multiplicity 2)
Pm 0.1825 0.3649 0.7591 (multiplicity 6)



Record 6
First-principles (PBE-GGA) data for Pr2GePt after structural relaxation, as listed in Alexandria.

Calculated values
Total magnetization: 0.000 μB per formula unit
DOS at the Fermi energy: 4.44 states/eV/cell
ΔH_f (0 K): -0.79 eV/atom

abc: 4.3993 4.3993 20.0937
angles: 90.00 90.00 120.00
Space group R-3m (No. 166, hexagonal axes)
One atom of each set of equivalent atoms:
Pr 0.0000 0.0000 0.2488 (multiplicity 6)
Ge 0.0000 0.0000 0.0000 (multiplicity 3)
Pt 0.0000 0.0000 0.5000 (multiplicity 3)



Record 7
First-principles (PBE-GGA) data for ErCdPb4 after structural relaxation, as listed in Alexandria.

Calculated values
Total magnetization: 0.000 μB per formula unit
DOS at the Fermi energy: 4.31 states/eV/cell
ΔH_f (0 K): -0.02 eV/atom

abc: 6.923 8.131 6.748
angles: 90.00 90.00 90.00
Space group Pmma (No. 51)
One atom of each set of equivalent atoms:
Er 0.250 0.000 0.161 (multiplicity 2)
Cd 0.250 0.500 0.639 (multiplicity 2)
Pb 0.000 0.200 0.500 (multiplicity 4)
Pb 0.000 0.305 0.000 (multiplicity 4)



Record 8
First-principles (PBE-GGA) data for MoHSeN2 after structural relaxation, as listed in Alexandria.

Calculated values
Total magnetization: 0.000 μB per formula unit
DOS at the Fermi energy: 2.10 states/eV/cell
Polymorph energy (0 for the lowest one): 764 meV/atom

abc: 3.975 3.975 3.034
angles: 90.00 90.00 90.00
Space group P4/mmm (No. 123)
One atom of each set of equivalent atoms:
Mo 0.000 0.000 0.000 (multiplicity 1)
H 0.500 0.500 0.500 (multiplicity 1)
Se 0.500 0.500 0.000 (multiplicity 1)
N 0.000 0.500 0.500 (multiplicity 2)



Record 9
First-principles (PBE-GGA) data for Eu2AgH after structural relaxation, as listed in Alexandria.

Calculated values
Total magnetization: 15.032 μB per formula unit
DOS at the Fermi energy: 3.16 states/eV/cell
Polymorph energy (0 for the lowest one): 113 meV/atom

abc: 3.469 3.469 7.601
angles: 90.00 90.00 90.00
Space group P4/mmm (No. 123)
One atom of each set of equivalent atoms:
Eu 0.000 0.000 0.223 (multiplicity 2)
Ag 0.500 0.500 0.500 (multiplicity 1)
H 0.500 0.500 0.000 (multiplicity 1)



Record 10
First-principles (PBE-GGA) data for Y2TePtAu after structural relaxation, as listed in Alexandria.

Calculated values
Total magnetization: 0.000 μB per formula unit
Formation energy (no corrections): 0.133 eV/atom
DOS at the Fermi energy: 3.13 states/eV/cell

abc: 5.507 5.507 5.125
angles: 90.00 90.00 90.00
Space group P4/mmm (No. 123)
One atom of each set of equivalent atoms:
Y 0.000 0.500 0.000 (multiplicity 2)
Te 0.000 0.000 0.500 (multiplicity 1)
Pt 0.500 0.500 0.500 (multiplicity 1)
Au 0.000 0.000 0.000 (multiplicity 1)



Record 11
First-principles (PBE-GGA) data for Li2RePt after structural relaxation, as listed in Alexandria.

Calculated values
Total magnetization: 0.007 μB per formula unit
DOS at the Fermi energy: 16.78 states/eV/cell
ΔH_f (0 K): 0.07 eV/atom
Polymorph energy (0 for the lowest one): 194 meV/atom

abc: 2.7536 2.7536 28.1747
angles: 90.00 90.00 120.00
Space group R3m (No. 160, hexagonal axes)
One atom of each set of equivalent atoms:
Li 0.0000 0.0000 0.0000 (multiplicity 3)
Li 0.0000 0.0000 0.2397 (multiplicity 3)
Re 0.0000 0.0000 0.4908 (multiplicity 3)
Pt 0.0000 0.0000 0.7433 (multiplicity 3)



Record 12
First-principles (PBE-GGA) data for Tb4Er4Sc3 after structural relaxation, as listed in Alexandria.

Calculated values
Total magnetization: 0.000 μB per formula unit
DOS at the Fermi energy: 22.15 states/eV/cell
ΔH_f (0 K): 0.10 eV/atom
Polymorph energy (0 for the lowest one): 38 meV/atom

abc: 3.406 5.456 17.619
angles: 81.13 84.46 90.00
Space group P-1 (No. 2)
One atom of each set of equivalent atoms:
Tb 0.045 0.045 0.409 (multiplicity 2)
Tb 0.178 0.679 0.143 (multiplicity 2)
Er 0.089 0.589 0.321 (multiplicity 2)
Er 0.232 0.232 0.036 (multiplicity 2)
Sc 0.365 0.865 0.771 (multiplicity 2)
Sc 0.500 0.500 0.500 (multiplicity 1)



Record 13
First-principles (PBE-GGA) data for Ac2LaPm4Nd after structural relaxation, as listed in Alexandria.

Calculated values
Total magnetization: 0.001 μB per formula unit
DOS at the Fermi energy: 70.00 states/eV/cell
ΔH_f (0 K): 0.37 eV/atom

abc: 14.152 13.884 7.176
angles: 90.00 120.22 90.00
Space group C2/c (No. 15)
One atom of each set of equivalent atoms:
Ac 0.000 0.000 0.000 (multiplicity 4)
Ac 0.250 0.250 0.000 (multiplicity 4)
La 0.000 0.500 0.000 (multiplicity 4)
Pm 0.000 0.260 0.016 (multiplicity 8)
Pm 0.237 0.493 0.488 (multiplicity 8)
Nd 0.250 0.250 0.500 (multiplicity 4)



Record 14
First-principles (PBE-GGA) data for AcTb2Pm2Sm after structural relaxation, as listed in Alexandria.

Calculated values
Total magnetization: 0.000 μB per formula unit
DOS at the Fermi energy: 17.92 states/eV/cell
ΔH_f (0 K): 0.17 eV/atom

abc: 7.122 16.540 3.626
angles: 90.00 90.00 90.00
Space group Pnnm (No. 58)
One atom of each set of equivalent atoms:
Ac 0.000 0.000 0.000 (multiplicity 2)
Tb 0.248 0.343 0.000 (multiplicity 4)
Pm 0.246 0.660 0.000 (multiplicity 4)
Sm 0.000 0.500 0.500 (multiplicity 2)



Record 15
First-principles (PBE-GGA) data for HfCdTe2I after structural relaxation, as listed in Alexandria.

Calculated values
Total magnetization: 0.000 μB per formula unit
Formation energy (no corrections): -0.221 eV/atom
DOS at the Fermi energy: 3.03 states/eV/cell
Polymorph energy (0 for the lowest one): 0 meV/atom

abc: 5.574 5.574 5.819
angles: 90.00 90.00 90.00
Space group P4/mmm (No. 123)
One atom of each set of equivalent atoms:
Hf 0.000 0.000 0.000 (multiplicity 1)
Cd 0.500 0.500 0.500 (multiplicity 1)
Te 0.000 0.500 0.000 (multiplicity 2)
I 0.000 0.000 0.500 (multiplicity 1)



Record 16
First-principles (PBE-GGA) data for La3Pr2NdAs6 after structural relaxation, as listed in Alexandria.

Calculated values
Total magnetization: 0.000 μB per formula unit
DOS at the Fermi energy: 2.97 states/eV/cell
ΔH_f (0 K): -1.54 eV/atom

abc: 18.898 4.338 8.673
angles: 90.00 103.30 90.00
Space group C2/m (No. 12)
One atom of each set of equivalent atoms:
La 0.000 0.000 0.000 (multiplicity 2)
La 0.167 0.500 0.333 (multiplicity 4)
Pr 0.166 0.500 0.833 (multiplicity 4)
Nd 0.000 0.000 0.500 (multiplicity 2)
As 0.000 0.500 0.253 (multiplicity 4)
As 0.166 0.000 0.584 (multiplicity 4)
As 0.167 0.000 0.082 (multiplicity 4)



Record 17
First-principles (PBE-GGA) data for Ba2PbI after structural relaxation, as listed in Alexandria.

Calculated values
Total magnetization: 0.000 μB per formula unit
Formation energy (no corrections): -0.930 eV/atom
DOS at the Fermi energy: 8.08 states/eV/cell
Polymorph energy (0 for the lowest one): 35 meV/atom

abc: 4.8507 4.8507 28.0090
angles: 90.00 90.00 120.00
Space group R3m (No. 160, hexagonal axes)
One atom of each set of equivalent atoms:
Ba 0.0000 0.0000 0.0000 (multiplicity 3)
Ba 0.0000 0.0000 0.1809 (multiplicity 3)
Pb 0.0000 0.0000 0.5904 (multiplicity 3)
I 0.0000 0.0000 0.7592 (multiplicity 3)



Record 18
First-principles (PBE-GGA) data for Ca2ScTlO5 after structural relaxation, as listed in Alexandria.

Calculated values
Total magnetization: 0.000 μB per formula unit
Formation energy (no corrections): -2.416 eV/atom

abc: 3.358 13.264 11.809
angles: 90.00 90.00 90.00
Space group Cmc2_1 (No. 36)
One atom of each set of equivalent atoms:
Ca 0.000 0.076 0.000 (multiplicity 4)
Ca 0.000 0.159 0.596 (multiplicity 4)
Sc 0.000 0.248 0.357 (multiplicity 4)
Tl 0.000 0.454 0.779 (multiplicity 4)
O 0.000 0.086 0.395 (multiplicity 4)
O 0.000 0.253 0.990 (multiplicity 4)
O 0.000 0.273 0.747 (multiplicity 4)
O 0.000 0.397 0.371 (multiplicity 4)
O 0.000 0.482 0.111 (multiplicity 4)



Record 19
First-principles (PBE-GGA) data for PrCdGeAu after structural relaxation, as listed in Alexandria.

Calculated values
Total magnetization: 0.000 μB per formula unit
DOS at the Fermi energy: 7.34 states/eV/cell
ΔH_f (0 K): -0.49 eV/atom

abc: 7.155 7.155 7.155
angles: 90.00 90.00 90.00
Space group F-43m (No. 216)
One atom of each set of equivalent atoms:
Pr 0.000 0.000 0.000 (multiplicity 4)
Cd 0.000 0.000 0.500 (multiplicity 4)
Ge 0.250 0.250 0.250 (multiplicity 4)
Au 0.250 0.250 0.750 (multiplicity 4)



Record 20
First-principles (PBE-GGA) data for InTc5 after structural relaxation, as listed in Alexandria.

Calculated values
Total magnetization: 0.000 μB per formula unit
DOS at the Fermi energy: 7.20 states/eV/cell
ΔH_f (0 K): 0.45 eV/atom
Polymorph energy (0 for the lowest one): 304 meV/atom

abc: 5.0145 5.0145 4.6771
angles: 90.00 90.00 120.00
Space group P6/mmm (No. 191)
One atom of each set of equivalent atoms:
In 0.0000 0.0000 0.0000 (multiplicity 1)
Tc 0.0000 0.5000 0.5000 (multiplicity 3)
Tc 0.3333 0.6667 0.0000 (multiplicity 2)



Record 21
First-principles (PBE-GGA) data for MgIn2GaCo after structural relaxation, as listed in Alexandria.

Calculated values
Total magnetization: 0.000 μB per formula unit
DOS at the Fermi energy: 2.99 states/eV/cell
ΔH_f (0 K): 0.05 eV/atom

abc: 4.978 4.978 4.594
angles: 90.00 90.00 90.00
Space group P4/mmm (No. 123)
One atom of each set of equivalent atoms:
Mg 0.000 0.000 0.000 (multiplicity 1)
In 0.000 0.500 0.500 (multiplicity 2)
Ga 0.500 0.500 0.000 (multiplicity 1)
Co 0.500 0.500 0.500 (multiplicity 1)



Record 22
First-principles (PBE-GGA) data for Pr2PbO after structural relaxation, as listed in Alexandria.

Calculated values
Total magnetization: 0.000 μB per formula unit
Formation energy (no corrections): -1.550 eV/atom
DOS at the Fermi energy: 5.24 states/eV/cell
Polymorph energy (0 for the lowest one): 172 meV/atom

abc: 3.7557 3.7557 24.0451
angles: 90.00 90.00 120.00
Space group R-3m (No. 166, hexagonal axes)
One atom of each set of equivalent atoms:
Pr 0.0000 0.0000 0.2234 (multiplicity 6)
Pb 0.0000 0.0000 0.0000 (multiplicity 3)
O 0.0000 0.0000 0.5000 (multiplicity 3)



Record 23
First-principles (PBE-GGA) data for Be2AgW after structural relaxation, as listed in Alexandria.

Calculated values
Total magnetization: 0.000 μB per formula unit
DOS at the Fermi energy: 10.70 states/eV/cell
ΔH_f (0 K): 0.76 eV/atom
Polymorph energy (0 for the lowest one): 583 meV/atom

abc: 6.254 6.254 5.471
angles: 90.00 90.00 90.00
Space group I-42d (No. 122)
One atom of each set of equivalent atoms:
Be 0.239 0.750 0.125 (multiplicity 8)
Ag 0.000 0.000 0.000 (multiplicity 4)
W 0.000 0.000 0.500 (multiplicity 4)



Record 24
First-principles (PBE-GGA) data for KRuRh2O8 after structural relaxation, as listed in Alexandria.

Calculated values
Total magnetization: 0.000 μB per formula unit
Formation energy (no corrections): -0.653 eV/atom
DOS at the Fermi energy: 7.54 states/eV/cell

abc: 4.695 6.524 4.792
angles: 90.00 93.20 90.00
Space group P2/m (No. 10)
One atom of each set of equivalent atoms:
K 0.000 0.000 0.000 (multiplicity 1)
Ru 0.000 0.500 0.000 (multiplicity 1)
Rh 0.500 0.251 0.500 (multiplicity 2)
O 0.218 0.297 0.199 (multiplicity 4)
O 0.288 0.500 0.692 (multiplicity 2)
O 0.320 0.000 0.644 (multiplicity 2)